(1)
A geometry-optimized CdReAu2 structure, computed with GGA-PBEsol.

Output
- VASP energy (eV for the cell shown) = -20.74

Cell: 4.9297 4.9297 2.7631 Å, 90.00 90.00 90.00°
With the nearest neighbours (Å) after each atom.
Atoms (fractional coordinates):
Cd: 0.0000 0.0000 0.0000  2 Cd 2.76, 8 Au 2.83
Re: 0.5000 0.5000 0.0000  2 Re 2.76, 8 Au 2.83
Au: 0.0000 0.5000 0.5000  2 Au 2.76, 4 Cd 2.83, 4 Re 2.83
Au: 0.5000 0.0000 0.5000  2 Au 2.76, 4 Cd 2.83, 4 Re 2.83

=====

(2)
A geometry-optimized CdReAu structure, computed with GGA-PBEsol.

Output
- VASP energy (eV for the cell shown) = -17.36

Cell: 2.8259 2.8259 7.1439 Å, 90.00 90.00 120.00°
With the nearest neighbours (Å) after each atom.
Atoms (fractional coordinates):
Cd: 0.0000 0.0000 0.0000  6 Cd 2.83, 3 Re 2.91, 3 Au 2.96
Re: 0.3333 0.6667 0.6630  3 Au 2.80, 6 Re 2.83, 3 Cd 2.91
Au: 0.6667 0.3333 0.3449  3 Re 2.80, 6 Au 2.83, 3 Cd 2.96

=====

(3)
A geometry-optimized CdRhAu2 structure, computed with GGA-PBEsol.

Output
- VASP energy (eV for the cell shown) = -17.20

Cell: 4.9107 4.9107 4.8270 Å, 101.73 101.73 35.32°
With the nearest neighbours (Å) after each atom.
Atoms (fractional coordinates):
Cd: 0.0000 0.0000 0.0000  3 Rh 2.79-2.85, 7 Au 2.80-2.87, 2 Cd 2.98
Rh: 0.7473 0.7473 0.2395  7 Au 2.79-2.89, 3 Cd 2.79-2.85, 2 Rh 2.98
Au: 0.2455 0.2455 0.7356  5 Au 2.82-2.98, 4 Rh 2.82-2.85, 3 Cd 2.86-2.87
Au: 0.4925 0.4925 0.4890  3 Rh 2.79-2.89, 4 Cd 2.80-2.87, 5 Au 2.82-2.98